{"formula": "Zr2Co", "functional": "GGA-PBE", "state": "relaxed", "cell": [[-3.169, 3.169, 2.744], [3.169, -3.169, 2.744], [3.169, 3.169, -2.744]], "species": ["Zr", "Zr", "Zr", "Zr", "Co", "Co"], "fractional_positions": [[0.171, 0.671, 0.841], [0.329, 0.171, 0.500], [0.671, 0.829, 0.500], [0.829, 0.329, 0.159], [0.250, 0.250, 0.000], [0.750, 0.750, 0.000]], "vol_a3_per_atom": 18.4, "spacegroup": "I4/mcm, No. 140", "formation_energy_kj_per_mol_atoms": -25}

=====

{"formula": "Al2Cu5Ni", "functional": "GGA-PBE", "state": "relaxed", "cell": [[-2.836, 2.836, 5.987], [2.836, -2.836, 5.987], [2.836, 2.836, -5.987]], "species": ["Al", "Al", "Al", "Al", "Cu", "Cu", "Cu", "Cu", "Cu", "Cu", "Cu", "Cu", "Cu", "Cu", "Ni", "Ni"], "fractional_positions": [[0.125, 0.375, 0.750], [0.375, 0.125, 0.250], [0.625, 0.875, 0.750], [0.875, 0.625, 0.250], [0.000, 0.249, 0.249], [0.000, 0.751, 0.751], [0.249, 0.000, 0.749], [0.249, 0.500, 0.249], [0.375, 0.625, 0.750], [0.500, 0.249, 0.749], [0.500, 0.751, 0.251], [0.625, 0.375, 0.250], [0.751, 0.000, 0.251], [0.751, 0.500, 0.751], [0.125, 0.875, 0.250], [0.875, 0.125, 0.750]], "vol_a3_per_atom": 12.0, "spacegroup": "I4_1/amd, No. 141"}

=====

{"formula": "LuFeSnAu", "functional": "GGA-PBE", "state": "relaxed", "cell": [[0.000, 3.333, 3.333], [3.333, 0.000, 3.333], [3.333, 3.333, 0.000]], "species": ["Lu", "Fe", "Sn", "Au"], "fractional_positions": [[0.000, 0.000, 0.000], [0.750, 0.750, 0.750], [0.500, 0.500, 0.500], [0.250, 0.250, 0.250]], "vol_a3_per_atom": 18.5, "spacegroup": "F-43m, No. 216", "relative_energy_mev_per_atom": 0}

=====

{"formula": "NbGaCuIr", "functional": "GGA-PBE", "state": "relaxed", "cell": [[0.000, 3.075, 3.075], [3.075, 0.000, 3.075], [3.075, 3.075, 0.000]], "species": ["Nb", "Ga", "Cu", "Ir"], "fractional_positions": [[0.000, 0.000, 0.000], [0.250, 0.250, 0.250], [0.750, 0.750, 0.750], [0.500, 0.500, 0.500]], "vol_a3_per_atom": 14.5, "spacegroup": "F-43m, No. 216", "relative_energy_mev_per_atom": 160}

=====

{"formula": "PmSnPd", "functional": "GGA-PBE", "state": "relaxed", "cell": [[4.713, 0.000, 0.000], [-2.357, 4.082, 0.000], [0.000, 0.000, 3.697]], "species": ["Pm", "Sn", "Pd"], "fractional_positions": [[0.000, 0.000, 0.000], [0.667, 0.333, 0.500], [0.333, 0.667, 0.500]], "vol_a3_per_atom": 23.7, "spacegroup": "P-6m2, No. 187", "relative_energy_mev_per_atom": 0}

=====

{"formula": "Tm3Mg3AlZn2", "functional": "GGA-PBE", "state": "relaxed", "cell": [[7.183, 0.000, 0.000], [-3.592, 6.221, 0.000], [0.000, 0.000, 4.514]], "species": ["Tm", "Tm", "Tm", "Mg", "Mg", "Mg", "Al", "Zn", "Zn"], "fractional_positions": [[0.000, 0.570, 0.000], [0.430, 0.430, 0.000], [0.570, 0.000, 0.000], [0.000, 0.245, 0.500], [0.245, 0.000, 0.500], [0.755, 0.755, 0.500], [0.000, 0.000, 0.000], [0.333, 0.667, 0.500], [0.667, 0.333, 0.500]], "vol_a3_per_atom": 22.4, "spacegroup": "P-62m, No. 189"}

=====

Per-record uncorrected energy, eV per formula unit: -24.97, -33.17, -21.03, -26.36, -16.58, -26.56